Entry 1:
The following is a DFT calculation (PBE-GGA) of a relaxed Hf3Ga6Mo crystal.

Unit cell a=6.6295 b=7.5405 c=7.5405 alpha=91.43 beta=90.00 gamma=90.00
Last column: nearest neighbours and their distance in Å.
Fractional coordinates of all 20 atoms:
Hf: 0.4162 0.8735 0.7855  2 Mo 2.79-2.84, 6 Ga 2.79-2.99
Hf: 0.9162 0.7855 0.8735  2 Mo 2.79-2.84, 6 Ga 2.79-2.99
Hf: 0.3899 0.3014 0.6986  1 Mo 2.68, 3 Ga 2.84-2.98
Hf: 0.8899 0.6986 0.3014  1 Mo 2.68, 3 Ga 2.84-2.98
Hf: 0.9162 0.1265 0.2145  2 Mo 2.79-2.84, 6 Ga 2.79-2.99
Hf: 0.4162 0.2145 0.1265  2 Mo 2.79-2.84, 6 Ga 2.79-2.99
Ga: 0.1645 0.6300 0.6106  4 Ga 2.53-2.78, 2 Hf 2.79-2.81
Ga: 0.6645 0.6106 0.6300  4 Ga 2.53-2.78, 2 Hf 2.79-2.81
Ga: 0.0877 0.4601 0.0169  1 Mo 2.76, 2 Ga 2.78-2.99, 3 Hf 2.94-3.06
Ga: 0.5877 0.0169 0.4601  1 Mo 2.76, 2 Ga 2.78-2.99, 3 Hf 2.94-3.06
Ga: 0.2146 0.8706 0.1294  1 Ga 2.62, 2 Mo 2.67-2.74, 5 Hf 2.83-2.92
Ga: 0.9265 0.3344 0.6656  5 Ga 2.62-2.77, 1 Mo 2.66
Ga: 0.4265 0.6656 0.3344  5 Ga 2.62-2.77, 1 Mo 2.66
Ga: 0.7146 0.1294 0.8706  1 Ga 2.62, 2 Mo 2.67-2.74, 5 Hf 2.83-2.92
Ga: 0.0877 0.9831 0.5399  1 Mo 2.76, 2 Ga 2.78-2.99, 3 Hf 2.94-3.06
Ga: 0.5877 0.5399 0.9831  1 Mo 2.76, 2 Ga 2.78-2.99, 3 Hf 2.94-3.06
Ga: 0.1645 0.3894 0.3700  4 Ga 2.53-2.78, 2 Hf 2.79-2.81
Ga: 0.6645 0.3700 0.3894  4 Ga 2.53-2.78, 2 Hf 2.79-2.81
Mo: 0.1176 0.1174 0.8826  5 Ga 2.66-2.76, 5 Hf 2.68-2.84
Mo: 0.6176 0.8826 0.1174  5 Ga 2.66-2.76, 5 Hf 2.68-2.84

Values from the calculation:
Spin magnetization (μB per atom): 0.000
Final energy (eV/atom): -6.0540

Entry 2:
The following is a DFT calculation (PBE-GGA) of a relaxed Pr2S3O12 crystal.

Unit cell a=11.4328 b=11.4328 c=7.0756 alpha=73.84 beta=73.84 gamma=34.45
Last column: nearest neighbours and their distance in Å.
Fractional coordinates of all 34 atoms:
Pr: 0.7224 0.0136 0.6341  7 O 2.41-2.56
Pr: 0.2776 0.9864 0.3659  7 O 2.41-2.56
Pr: 0.9864 0.2776 0.8659  7 O 2.41-2.56
Pr: 0.0136 0.7224 0.1341  7 O 2.41-2.56
S: 0.4990 0.8676 0.8185  4 O 1.46-1.51
S: 0.5010 0.1324 0.1815  4 O 1.46-1.51
S: 0.1324 0.5010 0.6815  4 O 1.46-1.51
S: 0.8676 0.4990 0.3185  4 O 1.46-1.51
S: 0.8378 0.1622 0.7500  4 O 1.48-1.51
S: 0.1622 0.8378 0.2500  4 O 1.48-1.51
O: 0.3430 0.9646 0.6913  1 S 1.51
O: 0.6570 0.0354 0.3087  1 S 1.51
O: 0.0354 0.6570 0.8087  1 S 1.51
O: 0.9646 0.3430 0.1913  1 S 1.51
O: 0.6317 0.0181 0.9999  1 S 1.50
O: 0.3683 0.9819 0.0001  1 S 1.50
O: 0.9819 0.3683 0.5001  1 S 1.50
O: 0.0181 0.6317 0.4999  1 S 1.50
O: 0.3545 0.3503 0.6327  1 S 1.47
O: 0.6455 0.6497 0.3673  1 S 1.47
O: 0.6497 0.6455 0.8673  1 S 1.47
O: 0.3503 0.3545 0.1327  1 S 1.47
O: 0.6018 0.9000 0.7160  1 S 1.46
O: 0.3982 0.1000 0.2840  1 S 1.46
O: 0.1000 0.3982 0.7840  1 S 1.46
O: 0.9000 0.6018 0.2160  1 S 1.46
O: 0.9127 0.9762 0.8537  1 S 1.51
O: 0.0873 0.0238 0.1463  1 S 1.51
O: 0.0238 0.0873 0.6463  1 S 1.51
O: 0.9762 0.9127 0.3537  1 S 1.51
O: 0.6954 0.2585 0.6100  1 S 1.48
O: 0.3046 0.7415 0.3900  1 S 1.48
O: 0.7415 0.3046 0.8900  1 S 1.48
O: 0.2585 0.6954 0.1100  1 S 1.48

Values from the calculation:
Spin magnetization (μB per atom): 0.000
E_form (uncorrected) (eV per atom): -2.125
Final energy (eV/atom): -6.9158

Entry 3:
The following is a DFT calculation (PBE-GGA) of a relaxed Mg6Ge crystal.

Unit cell a=6.8722 b=6.8722 c=6.8722 alpha=109.47 beta=109.47 gamma=109.47
Last column: nearest neighbours and their distance in Å.
Fractional coordinates of all 7 atoms:
Mg: 0.2500 0.7500 0.5000  4 Mg 2.81
Mg: 0.5000 0.7500 0.2500  4 Mg 2.81
Mg: 0.2500 0.5000 0.7500  4 Mg 2.81
Mg: 0.7500 0.2500 0.5000  4 Mg 2.81
Mg: 0.5000 0.2500 0.7500  4 Mg 2.81
Mg: 0.7500 0.5000 0.2500  4 Mg 2.81
Ge: 0.0000 0.0000 0.0000  24 Mg 4.44

Values from the calculation:
Spin magnetization (μB per atom): 0.000
Final energy (eV/atom): -1.0768

Entry 4:
The following is a DFT calculation (PBE-GGA) of a relaxed LaCr2Br crystal.

Unit cell a=4.2498 b=4.2498 c=6.0410 alpha=69.45 beta=69.45 gamma=59.95
Last column: nearest neighbours and their distance in Å.
Fractional coordinates of all 4 atoms:
Br: 0.2821 0.2821 0.1534  6 Cr 2.68-2.87
Cr: 0.0152 0.0152 0.9552  3 Cr 2.48-2.49, 3 Br 2.68-2.69
Cr: 0.7057 0.7057 0.8834  3 Cr 2.48-2.49
La: 0.4971 0.4971 0.5080  3 Br 3.14, 7 Cr 3.21-3.48

Values from the calculation:
Spin magnetization (μB per atom): 0.023
E_form (uncorrected) (eV per atom): 0.207
ΔE to the lowest computed polymorph (eV per atom): 0.194
Final energy (eV/atom): -6.2546

Entry 5:
The following is a DFT calculation (PBE-GGA) of a relaxed Co4Tc crystal.

Unit cell a=4.3423 b=4.3423 c=4.3423 alpha=90.00 beta=90.00 gamma=90.00
Last column: nearest neighbours and their distance in Å.
Fractional coordinates of all 5 atoms:
Co: 0.0000 0.0000 0.0000  12 Co 3.07
Co: 0.5000 0.0000 0.5000  2 Tc 2.17
Co: 0.0000 0.5000 0.5000  2 Tc 2.17
Co: 0.5000 0.5000 0.0000  2 Tc 2.17
Tc: 0.5000 0.5000 0.5000  6 Co 2.17

Values from the calculation:
Spin magnetization (μB per atom): 0.677
ΔE to the lowest computed polymorph (eV per atom): 1.610
Final energy (eV/atom): -6.0743

Entry 6:
The following is a DFT calculation (PBE-GGA) of a relaxed Ac2La5YHo crystal.

Unit cell a=5.6764 b=11.7156 c=10.6116 alpha=90.00 beta=90.00 gamma=104.02
Last column: nearest neighbours and their distance in Å.
Fractional coordinates of all 18 atoms:
Ac: 0.8840 0.7679 0.7716  1 Ho 3.58, 9 La 3.69-3.88, 2 Y 3.99
Ac: 0.1161 0.2321 0.7448  1 Ho 3.58, 9 La 3.69-3.88, 2 Y 3.99
Ac: 0.1160 0.2321 0.2716  1 Ho 3.58, 9 La 3.69-3.88, 2 Y 3.99
Ac: 0.8839 0.7679 0.2448  1 Ho 3.58, 9 La 3.69-3.88, 2 Y 3.99
La: 0.3764 0.7528 0.0083  1 Ho 3.68, 4 Ac 3.79, 6 La 3.86-4.06
La: 0.7230 0.4461 0.8189  2 La 3.35, 1 Y 3.38, 3 Ho 3.48-3.59, 1 Ac 3.69
La: 0.5000 0.9999 0.7582  2 Y 3.55, 6 La 3.86-3.89, 4 Ac 3.88
La: 0.2771 0.5541 0.6976  2 La 3.35, 1 Y 3.38, 3 Ho 3.48-3.59, 1 Ac 3.69
La: 0.9961 0.9922 0.5082  2 Y 3.63, 4 Ac 3.71-3.78, 6 La 3.89-4.06
La: 0.6236 0.2472 0.5083  1 Ho 3.68, 4 Ac 3.79, 6 La 3.86-4.06
La: 0.2770 0.5539 0.3189  2 La 3.35, 1 Y 3.38, 3 Ho 3.48-3.59, 1 Ac 3.69
La: 0.5000 0.0001 0.2582  2 Y 3.55, 6 La 3.86-3.89, 4 Ac 3.88
La: 0.7229 0.4459 0.1976  2 La 3.35, 1 Y 3.38, 3 Ho 3.48-3.59, 1 Ac 3.69
La: 0.0039 0.0078 0.0082  2 Y 3.63, 4 Ac 3.71-3.78, 6 La 3.89-4.06
Y: 0.6035 0.2070 0.0081  6 La 3.38-3.63
Y: 0.3965 0.7930 0.5081  6 La 3.38-3.63
Ho: 0.7857 0.5713 0.5083  7 La 3.48-3.68, 2 Ac 3.58, 2 Y 3.80
Ho: 0.2143 0.4287 0.0083  7 La 3.48-3.68, 2 Ac 3.58, 2 Y 3.80

Values from the calculation:
Spin magnetization (μB per atom): 0.000
Final energy (eV/atom): -4.7771

Entry 7:
The following is a DFT calculation (PBE-GGA) of a relaxed CsSeBr3 crystal.

Unit cell a=6.2883 b=9.0037 c=10.3595 alpha=90.00 beta=130.47 gamma=90.00
Last column: nearest neighbours and their distance in Å.
Fractional coordinates of all 10 atoms:
Cs: 0.4485 0.2500 0.7411  5 Br 3.70-3.84, 2 Se 3.90-4.01
Cs: 0.5515 0.7500 0.2589  5 Br 3.70-3.84, 2 Se 3.90-4.01
Se: 0.9766 0.2500 0.2356  3 Br 2.38-2.60
Se: 0.0234 0.7500 0.7644  3 Br 2.38-2.60
Br: 0.0104 0.5366 0.2205  1 Se 2.60
Br: 0.9896 0.4634 0.7795  1 Se 2.60
Br: 0.0104 0.9634 0.2205  1 Se 2.60
Br: 0.9896 0.0366 0.7795  1 Se 2.60
Br: 0.6972 0.2500 0.3152  1 Se 2.38
Br: 0.3028 0.7500 0.6848  1 Se 2.38

Values from the calculation:
Spin magnetization (μB per atom): 0.000
E_form (uncorrected) (eV per atom): -0.749
Final energy (eV/atom): -2.6199

Entry 8:
The following is a DFT calculation (PBE-GGA) of a relaxed HgBi2Pd5 crystal.

Unit cell a=4.9529 b=4.9529 c=7.1218 alpha=110.35 beta=110.35 gamma=90.00
Last column: nearest neighbours and their distance in Å.
Fractional coordinates of all 8 atoms:
Hg: 0.0000 0.0000 0.0000  8 Pd 2.88
Bi: 0.7351 0.7351 0.4702  9 Pd 2.87-3.07
Bi: 0.2649 0.2649 0.5298  9 Pd 2.87-3.07
Pd: 0.5000 0.5000 0.0000  8 Pd 2.88, 2 Bi 2.92
Pd: 0.8816 0.3816 0.7633  4 Bi 2.87-3.07, 3 Pd 2.88-2.94, 2 Hg 2.88
Pd: 0.3816 0.8816 0.7633  4 Bi 2.87-3.07, 2 Hg 2.88, 3 Pd 2.88-2.94
Pd: 0.1184 0.6184 0.2367  4 Bi 2.87-3.07, 3 Pd 2.88-2.94, 2 Hg 2.88
Pd: 0.6184 0.1184 0.2367  4 Bi 2.87-3.07, 2 Hg 2.88, 3 Pd 2.88-2.94

Values from the calculation:
Spin magnetization (μB per atom): 0.000
ΔE to the lowest computed polymorph (eV per atom): 0.000
Final energy (eV/atom): -4.4450

Entry 9:
The following is a DFT calculation (PBE-GGA) of a relaxed Ac2LaZn crystal.

Unit cell a=5.5090 b=5.5090 c=10.1239 alpha=105.79 beta=105.79 gamma=90.00
Last column: nearest neighbours and their distance in Å.
Fractional coordinates of all 8 atoms:
Ac: 0.0000 0.5000 0.0000  8 Ac 3.90, 4 La 3.97
Ac: 0.5000 0.0000 0.0000  8 Ac 3.90, 4 La 3.97
Ac: 0.3520 0.3520 0.7041  4 Zn 3.35, 1 La 3.72
Ac: 0.6480 0.6480 0.2959  4 Zn 3.35, 1 La 3.72
La: 0.1532 0.1532 0.3063  4 Zn 3.30
La: 0.8468 0.8468 0.6937  4 Zn 3.30
Zn: 0.2500 0.7500 0.5000  4 La 3.30, 4 Ac 3.35
Zn: 0.7500 0.2500 0.5000  4 La 3.30, 4 Ac 3.35

Values from the calculation:
Spin magnetization (μB per atom): 0.000
ΔE to the lowest computed polymorph (eV per atom): 0.000
Final energy (eV/atom): -3.7337

Entry 10:
The following is a DFT calculation (PBE-GGA) of a relaxed Pm2DyY6 crystal.

Unit cell a=6.5945 b=9.6508 c=9.6508 alpha=96.09 beta=80.88 gamma=80.88
Last column: nearest neighbours and their distance in Å.
Fractional coordinates of all 18 atoms:
Pm: 0.1281 0.6162 0.6652  3 Pm 3.37-3.61, 7 Y 3.41-3.67
Pm: 0.3719 0.3348 0.3838  3 Pm 3.37-3.61, 7 Y 3.41-3.67
Pm: 0.8719 0.3838 0.3348  3 Pm 3.37-3.61, 7 Y 3.41-3.67
Pm: 0.6281 0.6652 0.6162  3 Pm 3.37-3.61, 7 Y 3.41-3.67
Dy: 0.2500 0.1180 0.8820  6 Y 3.31-3.52
Dy: 0.7500 0.8820 0.1180  6 Y 3.31-3.52
Y: 0.5049 0.6513 0.2758  5 Y 3.27-3.57, 1 Dy 3.31, 3 Pm 3.41-3.52
Y: 0.9951 0.7242 0.3487  5 Y 3.27-3.57, 1 Dy 3.31, 3 Pm 3.41-3.52
Y: 0.4951 0.3487 0.7242  5 Y 3.27-3.57, 1 Dy 3.31, 3 Pm 3.41-3.52
Y: 0.0049 0.2758 0.6513  5 Y 3.27-3.57, 1 Dy 3.31, 3 Pm 3.41-3.52
Y: 0.7273 0.0604 0.4593  6 Y 3.39-3.55, 2 Pm 3.47-3.67, 1 Dy 3.52
Y: 0.7727 0.5407 0.9396  6 Y 3.39-3.55, 2 Pm 3.47-3.67, 1 Dy 3.52
Y: 0.2727 0.9396 0.5407  6 Y 3.39-3.55, 2 Pm 3.47-3.67, 1 Dy 3.52
Y: 0.2273 0.4593 0.0604  6 Y 3.39-3.55, 2 Pm 3.47-3.67, 1 Dy 3.52
Y: 0.3123 0.7783 0.9537  3 Y 3.36-3.48, 3 Dy 3.40-3.73, 2 Pm 3.53-3.54
Y: 0.1877 0.0463 0.2217  3 Y 3.36-3.48, 3 Dy 3.40-3.73, 2 Pm 3.53-3.54
Y: 0.6877 0.2217 0.0463  3 Y 3.36-3.48, 3 Dy 3.40-3.73, 2 Pm 3.53-3.54
Y: 0.8123 0.9537 0.7783  3 Y 3.36-3.48, 3 Dy 3.40-3.73, 2 Pm 3.53-3.54

Values from the calculation:
Spin magnetization (μB per atom): 0.000
Final energy (eV/atom): -5.7733

Entry 11:
The following is a DFT calculation (PBE-GGA) of a relaxed Mg2GaAg2 crystal.

Unit cell a=4.0869 b=4.0869 c=7.0810 alpha=73.23 beta=73.23 gamma=90.00
Last column: nearest neighbours and their distance in Å.
Fractional coordinates of all 5 atoms:
Mg: 0.7500 0.2500 0.5000  4 Ag 2.78, 4 Mg 2.89
Mg: 0.2500 0.7500 0.5000  4 Ag 2.78, 4 Mg 2.89
Ga: 0.0000 0.0000 0.0000  8 Ag 3.19
Ag: 0.3955 0.3955 0.2090  1 Ag 2.70, 4 Mg 2.78
Ag: 0.6045 0.6045 0.7910  1 Ag 2.70, 4 Mg 2.78

Values from the calculation:
Spin magnetization (μB per atom): 0.000
ΔE to the lowest computed polymorph (eV per atom): 0.271
Final energy (eV/atom): -2.2741

Entry 12:
The following is a DFT calculation (PBE-GGA) of a relaxed TbNdGa2 crystal.

Unit cell a=3.7465 b=3.7465 c=9.0475 alpha=78.05 beta=78.05 gamma=60.00
Last column: nearest neighbours and their distance in Å.
Fractional coordinates of all 4 atoms:
Nd: 0.5000 0.5000 0.5000  6 Ga 3.12
Tb: 0.0000 0.0000 0.0000  6 Ga 3.04
Ga: 0.7478 0.7478 0.7566  3 Tb 3.04, 3 Nd 3.12
Ga: 0.2522 0.2522 0.2434  3 Tb 3.04, 3 Nd 3.12

Values from the calculation:
Spin magnetization (μB per atom): 0.000
ΔE to the lowest computed polymorph (eV per atom): 0.212
Final energy (eV/atom): -4.2548